VASP calculation (PBE+U) on Mg6FeBiO8 after structural relaxation.

Cell and atoms, written as POSCAR:
```
Mg6FeBiO8
1.0
-4.1909 -1.5994 -0.5414
1.0086 -3.5330 2.6297
-2.6729 4.5757 7.1727
Mg Fe Bi O
6 1 1 8
Direct
0.0000 0.0000 0.5000
0.5000 0.5000 0.5000
0.0000 0.5000 0.2662
0.0000 0.5000 0.7338
0.5000 0.0000 0.2662
0.5000 0.0000 0.7338
0.0000 0.0000 0.0000
0.5000 0.5000 0.0000
0.0000 0.0000 0.2539
0.0000 0.0000 0.7461
0.5000 0.5000 0.2750
0.5000 0.5000 0.7250
0.0000 0.5000 0.0000
0.0000 0.5000 0.5000
0.5000 0.0000 0.0000
0.5000 0.0000 0.5000
```

Properties
Its space group is P4/mmm (123). For the calculated density, the calculation gives 4.91 Mg/m³. The calculation puts the total magnetization at 3.96 Bohr magnetons per cell. Its total energy is -91.17 eV per cell.